A plane-wave DFT calculation with PBE-GGA was carried out for a relaxed structure of TiMnTc2Se.

Values from the calculation:
space-group type	P4/mmm (123)
energy relative to the elements, uncorrected	1500	meV/atom

The structure in CIF format:
```
data_TiMnTc2Se
_chemical_formula_sum 'Ti1 Mn1 Tc2 Se1'
_symmetry_space_group_name_H-M 'P 1'
_symmetry_Int_Tables_number 1
_symmetry_space_group_name_Hall 'P 1'
_cell_length_a 4.5982
_cell_length_b 4.2592
_cell_length_c 4.5982
_cell_angle_alpha 90.00
_cell_angle_beta 90.00
_cell_angle_gamma 90.00
loop_
_atom_site_label
_atom_site_type_symbol
_atom_site_fract_x
_atom_site_fract_y
_atom_site_fract_z
_atom_site_occupancy
Mn1 Mn 0.0000 0.5000 0.0000 1
Tc1 Tc 0.0000 0.0000 0.5000 1
Tc2 Tc 0.5000 0.0000 0.0000 1
Se1 Se 0.5000 0.5000 0.5000 1
Ti1 Ti 0.0000 0.0000 0.0000 1
```

---

A plane-wave DFT calculation with PBE-GGA was carried out for a relaxed structure of PrHo2Se.

Values from the calculation:
space-group type	R3m (160)
energy relative to the elements, uncorrected	-800	meV/atom
excess energy over the best structure of this formula in the dataset	0.014	eV/atom

The structure in CIF format:
```
data_PrHo2Se
_chemical_formula_sum 'Pr1 Ho2 Se1'
_symmetry_space_group_name_H-M 'P 1'
_symmetry_Int_Tables_number 1
_symmetry_space_group_name_Hall 'P 1'
_cell_length_a 3.7910
_cell_length_b 3.7910
_cell_length_c 9.8530
_cell_angle_alpha 78.91
_cell_angle_beta 78.91
_cell_angle_gamma 60.00
loop_
_atom_site_label
_atom_site_type_symbol
_atom_site_fract_x
_atom_site_fract_y
_atom_site_fract_z
_atom_site_occupancy
Pr1 Pr 0.4997 0.4997 0.5009 1
Ho1 Ho 0.0640 0.0640 0.8080 1
Ho2 Ho 0.2695 0.2695 0.1914 1
Se1 Se 0.6668 0.6668 0.9997 1
```

---

A plane-wave DFT calculation with PBE-GGA was carried out for a relaxed structure of MnCuSi.

Values from the calculation:
space-group type	F-43m (216)
energy relative to the elements, uncorrected	200	meV/atom

The structure in CIF format:
```
data_MnCuSi
_chemical_formula_sum 'Mn1 Cu1 Si1'
_symmetry_space_group_name_H-M 'P 1'
_symmetry_Int_Tables_number 1
_symmetry_space_group_name_Hall 'P 1'
_cell_length_a 3.9699
_cell_length_b 3.9699
_cell_length_c 3.9699
_cell_angle_alpha 60.00
_cell_angle_beta 60.00
_cell_angle_gamma 60.00
loop_
_atom_site_label
_atom_site_type_symbol
_atom_site_fract_x
_atom_site_fract_y
_atom_site_fract_z
_atom_site_occupancy
Cu1 Cu 0.5000 0.5000 0.5000 1
Mn1 Mn 0.7500 0.7500 0.7500 1
Si1 Si 0.0000 0.0000 0.0000 1
```

---

A plane-wave DFT calculation with PBE-GGA was carried out for a relaxed structure of ZrFe2Ni.

Values from the calculation:
formation enthalpy at 0 K	1.75	kcal/mol of atoms
space-group type	Pmma (51)

The structure in CIF format:
```
data_ZrFe2Ni
_chemical_formula_sum 'Zr4 Fe8 Ni4'
_symmetry_space_group_name_H-M 'P 1'
_symmetry_Int_Tables_number 1
_symmetry_space_group_name_Hall 'P 1'
_cell_length_a 4.5000
_cell_length_b 4.6717
_cell_length_c 11.3239
_cell_angle_alpha 90.00
_cell_angle_beta 90.00
_cell_angle_gamma 90.00
loop_
_atom_site_label
_atom_site_type_symbol
_atom_site_fract_x
_atom_site_fract_y
_atom_site_fract_z
_atom_site_occupancy
Zr1 Zr 0.0000 0.2500 0.3179 1
Zr2 Zr 0.5000 0.7500 0.9065 1
Zr3 Zr 0.0000 0.7500 0.6821 1
Zr4 Zr 0.5000 0.2500 0.0935 1
Fe1 Fe 0.0000 0.0000 0.0000 1
Fe2 Fe 0.5000 0.5000 0.5000 1
Fe3 Fe 0.2432 0.7500 0.1588 1
Fe4 Fe 0.7568 0.2500 0.8412 1
Fe5 Fe 0.7568 0.7500 0.1588 1
Fe6 Fe 0.2432 0.2500 0.8412 1
Fe7 Fe 0.0000 0.5000 0.0000 1
Fe8 Fe 0.5000 0.0000 0.5000 1
Ni1 Ni 0.5000 0.7500 0.3280 1
Ni2 Ni 0.5000 0.2500 0.6720 1
Ni3 Ni 0.0000 0.2500 0.5582 1
Ni4 Ni 0.0000 0.7500 0.4418 1
```

---

A plane-wave DFT calculation with PBE-GGA was carried out for a relaxed structure of RbLiP.

Values from the calculation:
formation enthalpy at 0 K	-8.91	kcal/mol of atoms
space-group type	I4/mmm (139)
excess energy over the best structure of this formula in the dataset	0.024	eV/atom

The structure in CIF format:
```
data_RbLiP
_chemical_formula_sum 'Rb2 Li2 P2'
_symmetry_space_group_name_H-M 'P 1'
_symmetry_Int_Tables_number 1
_symmetry_space_group_name_Hall 'P 1'
_cell_length_a 4.6483
_cell_length_b 4.6483
_cell_length_c 7.9409
_cell_angle_alpha 107.02
_cell_angle_beta 107.02
_cell_angle_gamma 90.00
loop_
_atom_site_label
_atom_site_type_symbol
_atom_site_fract_x
_atom_site_fract_y
_atom_site_fract_z
_atom_site_occupancy
Rb1 Rb 0.6802 0.6802 0.3603 1
Rb2 Rb 0.3198 0.3198 0.6397 1
Li1 Li 0.0000 0.5000 0.0000 1
Li2 Li 0.5000 0.0000 0.0000 1
P1 P 0.0816 0.0816 0.1633 1
P2 P 0.9184 0.9184 0.8367 1
```

---

A plane-wave DFT calculation with PBE-GGA was carried out for a relaxed structure of ZrScSb2.

Values from the calculation:
space-group type	P2/m (10)
energy relative to the elements, uncorrected	-609	meV/atom
excess energy over the best structure of this formula in the dataset	0.152	eV/atom

The structure in CIF format:
```
data_ZrScSb2
_chemical_formula_sum 'Zr1 Sc1 Sb2'
_symmetry_space_group_name_H-M 'P 1'
_symmetry_Int_Tables_number 1
_symmetry_space_group_name_Hall 'P 1'
_cell_length_a 3.8930
_cell_length_b 3.6230
_cell_length_c 6.9965
_cell_angle_alpha 71.70
_cell_angle_beta 90.00
_cell_angle_gamma 90.00
loop_
_atom_site_label
_atom_site_type_symbol
_atom_site_fract_x
_atom_site_fract_y
_atom_site_fract_z
_atom_site_occupancy
Sb1 Sb 0.0000 0.0310 0.9944 1
Sb2 Sb 0.0000 0.4690 0.5056 1
Sc1 Sc 0.5000 0.2500 0.2500 1
Zr1 Zr 0.5000 0.7500 0.7500 1
```

---

A plane-wave DFT calculation with PBE-GGA was carried out for a relaxed structure of LiZr2TcB.

Values from the calculation:
formation enthalpy at 0 K	18.05	kcal/mol of atoms
space-group type	P4/mmm (123)

The structure in CIF format:
```
data_LiZr2TcB
_chemical_formula_sum 'Li1 Zr2 Tc1 B1'
_symmetry_space_group_name_H-M 'P 1'
_symmetry_Int_Tables_number 1
_symmetry_space_group_name_Hall 'P 1'
_cell_length_a 4.6793
_cell_length_b 3.5726
_cell_length_c 4.6793
_cell_angle_alpha 90.00
_cell_angle_beta 90.00
_cell_angle_gamma 90.00
loop_
_atom_site_label
_atom_site_type_symbol
_atom_site_fract_x
_atom_site_fract_y
_atom_site_fract_z
_atom_site_occupancy
B1 B 0.0000 0.5000 0.0000 1
Tc1 Tc 0.5000 0.5000 0.5000 1
Zr1 Zr 0.0000 0.0000 0.5000 1
Zr2 Zr 0.5000 0.0000 0.0000 1
Li1 Li 0.0000 0.0000 0.0000 1
```

---

A plane-wave DFT calculation with PBE-GGA was carried out for a relaxed structure of La2Al3Au2.

Values from the calculation:
formation enthalpy at 0 K	-14.94	kcal/mol of atoms
space-group type	C2/m (12)
excess energy over the best structure of this formula in the dataset	0.000	eV/atom

The structure in CIF format:
```
data_La2Al3Au2
_chemical_formula_sum 'La2 Al3 Au2'
_symmetry_space_group_name_H-M 'P 1'
_symmetry_Int_Tables_number 1
_symmetry_space_group_name_Hall 'P 1'
_cell_length_a 4.5186
_cell_length_b 5.9388
_cell_length_c 6.9443
_cell_angle_alpha 112.65
_cell_angle_beta 90.00
_cell_angle_gamma 112.36
loop_
_atom_site_label
_atom_site_type_symbol
_atom_site_fract_x
_atom_site_fract_y
_atom_site_fract_z
_atom_site_occupancy
La1 La 0.8479 0.6959 0.2142 1
La2 La 0.1521 0.3041 0.7858 1
Al1 Al 0.5000 0.0000 0.0000 1
Al2 Al 0.6002 0.2004 0.4274 1
Al3 Al 0.3998 0.7996 0.5726 1
Au1 Au 0.8515 0.7029 0.7417 1
Au2 Au 0.1485 0.2971 0.2583 1
```

---

A plane-wave DFT calculation with PBE-GGA was carried out for a relaxed structure of Al8Zn3CdS16.

Values from the calculation:
space-group type	R3m (160)
energy relative to the elements, uncorrected	-996	meV/atom

The structure in CIF format:
```
data_Al8Zn3CdS16
_chemical_formula_sum 'Al8 Zn3 Cd1 S16'
_symmetry_space_group_name_H-M 'P 1'
_symmetry_Int_Tables_number 1
_symmetry_space_group_name_Hall 'P 1'
_cell_length_a 12.4459
_cell_length_b 12.4459
_cell_length_c 12.4459
_cell_angle_alpha 33.54
_cell_angle_beta 33.54
_cell_angle_gamma 33.54
loop_
_atom_site_label
_atom_site_type_symbol
_atom_site_fract_x
_atom_site_fract_y
_atom_site_fract_z
_atom_site_occupancy
Al1 Al 0.2500 0.2500 0.2500 1
Al2 Al 0.7502 0.7502 0.7502 1
Al3 Al 0.5006 0.5006 0.0017 1
Al4 Al 0.9997 0.9997 0.4979 1
Al5 Al 0.5006 0.0017 0.5006 1
Al6 Al 0.9997 0.4979 0.9997 1
Al7 Al 0.0017 0.5006 0.5006 1
Al8 Al 0.4979 0.9997 0.9997 1
Zn1 Zn 0.4375 0.4375 0.4375 1
Zn2 Zn 0.5627 0.5627 0.5627 1
Zn3 Zn 0.0623 0.0623 0.0623 1
Cd1 Cd 0.9370 0.9370 0.9370 1
S1 S 0.8665 0.8665 0.8665 1
S2 S 0.3712 0.3712 0.3712 1
S3 S 0.1475 0.1475 0.5892 1
S4 S 0.6387 0.6387 0.1009 1
S5 S 0.1475 0.5892 0.1475 1
S6 S 0.6387 0.1009 0.6387 1
S7 S 0.5892 0.1475 0.1475 1
S8 S 0.1009 0.6387 0.6387 1
S9 S 0.6303 0.6303 0.6303 1
S10 S 0.1296 0.1296 0.1296 1
S11 S 0.3598 0.3598 0.9000 1
S12 S 0.8604 0.8604 0.4000 1
S13 S 0.3598 0.9000 0.3598 1
S14 S 0.8604 0.4000 0.8604 1
S15 S 0.9000 0.3598 0.3598 1
S16 S 0.4000 0.8604 0.8604 1
```

---

A plane-wave DFT calculation with PBE-GGA was carried out for a relaxed structure of Ho2Ga7Pd.

Values from the calculation:
formation enthalpy at 0 K	-11.19	kcal/mol of atoms
space-group type	P-4m2 (115)

The structure in CIF format:
```
data_Ho2Ga7Pd
_chemical_formula_sum 'Ho2 Ga7 Pd1'
_symmetry_space_group_name_H-M 'P 1'
_symmetry_Int_Tables_number 1
_symmetry_space_group_name_Hall 'P 1'
_cell_length_a 4.1773
_cell_length_b 4.1773
_cell_length_c 10.8552
_cell_angle_alpha 90.00
_cell_angle_beta 90.00
_cell_angle_gamma 90.00
loop_
_atom_site_label
_atom_site_type_symbol
_atom_site_fract_x
_atom_site_fract_y
_atom_site_fract_z
_atom_site_occupancy
Ho1 Ho 0.5000 0.0000 0.7564 1
Ho2 Ho 0.0000 0.5000 0.2436 1
Ga1 Ga 0.0000 0.5000 0.8659 1
Ga2 Ga 0.5000 0.0000 0.3574 1
Ga3 Ga 0.5000 0.0000 0.1341 1
Ga4 Ga 0.0000 0.5000 0.6426 1
Ga5 Ga 0.0000 0.0000 0.5000 1
Ga6 Ga 0.0000 0.0000 0.0000 1
Ga7 Ga 0.5000 0.5000 0.5000 1
Pd1 Pd 0.5000 0.5000 0.0000 1
```

---

A plane-wave DFT calculation with PBE-GGA was carried out for a relaxed structure of HoBiPb.

Values from the calculation:
formation enthalpy at 0 K	-4.47	kcal/mol of atoms
space-group type	P3m1 (156)
excess energy over the best structure of this formula in the dataset	0.148	eV/atom

The structure in CIF format:
```
data_HoBiPb
_chemical_formula_sum 'Ho1 Bi1 Pb1'
_symmetry_space_group_name_H-M 'P 1'
_symmetry_Int_Tables_number 1
_symmetry_space_group_name_Hall 'P 1'
_cell_length_a 3.3624
_cell_length_b 5.5845
_cell_length_c 5.5845
_cell_angle_alpha 120.00
_cell_angle_beta 90.00
_cell_angle_gamma 90.00
loop_
_atom_site_label
_atom_site_type_symbol
_atom_site_fract_x
_atom_site_fract_y
_atom_site_fract_z
_atom_site_occupancy
Pb1 Pb 0.8265 0.6667 0.3333 1
Bi1 Bi 0.8386 0.0000 0.0000 1
Ho1 Ho 0.3348 0.3333 0.6667 1
```

---

A plane-wave DFT calculation with PBE-GGA was carried out for a relaxed structure of Ca5Si2P.

Values from the calculation:
space-group type	I4/mcm (140)
energy relative to the elements, uncorrected	-652	meV/atom

The structure in CIF format:
```
data_Ca5Si2P
_chemical_formula_sum 'Ca10 Si4 P2'
_symmetry_space_group_name_H-M 'P 1'
_symmetry_Int_Tables_number 1
_symmetry_space_group_name_Hall 'P 1'
_cell_length_a 7.5879
_cell_length_b 7.5879
_cell_length_c 8.9654
_cell_angle_alpha 115.04
_cell_angle_beta 115.04
_cell_angle_gamma 90.00
loop_
_atom_site_label
_atom_site_type_symbol
_atom_site_fract_x
_atom_site_fract_y
_atom_site_fract_z
_atom_site_occupancy
Ca1 Ca 0.5300 0.6805 0.7105 1
Ca2 Ca 0.8195 0.9700 0.2895 1
Ca3 Ca 0.0000 0.0000 0.0000 1
Ca4 Ca 0.5000 0.5000 0.0000 1
Ca5 Ca 0.1805 0.0300 0.7105 1
Ca6 Ca 0.6805 0.1805 0.7105 1
Ca7 Ca 0.0300 0.5300 0.7105 1
Ca8 Ca 0.3195 0.8195 0.2895 1
Ca9 Ca 0.9700 0.4700 0.2895 1
Ca10 Ca 0.4700 0.3195 0.2895 1
Si1 Si 0.1145 0.3855 0.0000 1
Si2 Si 0.6145 0.1145 0.0000 1
Si3 Si 0.3855 0.8855 0.0000 1
Si4 Si 0.8855 0.6145 0.0000 1
P1 P 0.7500 0.7500 0.5000 1
P2 P 0.2500 0.2500 0.5000 1
```

---

no.,D(E_F) (states/eV per atom)
1,1.83
2,1.08
3,0.57
4,1.08
5,0.27
6,0.69
7,0.78
8,0.67
9,0.00
10,0.31
11,0.91
12,0.18